(1)
A relaxed K2Na2InAs2 crystal. Source: Alexandria, functional PBE.

Unit cell a=4.424 b=8.525 c=6.637 alpha=98.24 beta=70.53 gamma=74.96
Sites, in units of the cell vectors:
K 0.162 0.190 0.486
K 0.838 0.810 0.514
Na 0.283 0.573 0.862
Na 0.717 0.427 0.138
In 0.000 0.000 0.000
As 0.443 0.203 0.912
As 0.557 0.797 0.088

## Properties
Space group = C2/m, No. 12
DFT formation energy = -0.257 eV per atom
V = 31.5 A^3/atom

(2)
A relaxed K10NbInAs6 crystal. Source: Alexandria, functional PBE.

Unit cell a=8.414 b=9.202 c=17.685 alpha=60.12 beta=90.00 gamma=90.00
Sites, in units of the cell vectors:
K 0.742 0.904 0.415
K 0.258 0.904 0.915
K 0.768 0.091 0.589
K 0.232 0.091 0.089
K 0.574 0.160 0.754
K 0.426 0.160 0.254
K 0.913 0.840 0.241
K 0.087 0.840 0.741
K 0.735 0.546 0.753
K 0.265 0.546 0.253
K 0.776 0.453 0.243
K 0.224 0.453 0.743
K 0.089 0.159 0.418
K 0.911 0.159 0.918
K 0.415 0.843 0.582
K 0.585 0.843 0.082
K 0.243 0.283 0.570
K 0.757 0.283 0.070
K 0.218 0.740 0.421
K 0.782 0.740 0.921
Nb 0.618 0.504 0.425
Nb 0.382 0.504 0.925
In 0.880 0.491 0.583
In 0.120 0.491 0.083
As 0.922 0.483 0.428
As 0.078 0.483 0.928
As 0.547 0.518 0.562
As 0.453 0.518 0.062
As 0.964 0.194 0.726
As 0.036 0.194 0.226
As 0.533 0.767 0.291
As 0.467 0.767 0.791
As 0.002 0.771 0.578
As 0.998 0.771 0.078
As 0.497 0.253 0.424
As 0.503 0.253 0.924

## Properties
Space group = Pc, No. 7
DFT formation energy = -0.475 eV per atom
V = 33.0 A^3/atom

(3)
A relaxed K2InAs2O6 crystal. Source: Alexandria, functional PBE.

Unit cell a=5.908 b=5.908 c=7.704 alpha=67.45 beta=67.45 gamma=60.00
Sites, in units of the cell vectors:
K 0.736 0.736 0.791
K 0.264 0.264 0.209
In 0.000 0.000 0.000
As 0.426 0.426 0.721
As 0.574 0.574 0.279
O 0.765 0.765 0.185
O 0.286 0.765 0.185
O 0.765 0.286 0.185
O 0.235 0.714 0.815
O 0.714 0.235 0.815
O 0.235 0.235 0.815

## Properties
Formation energy (no corrections) = -1.41 eV/atom
Space group = R-3m, No. 166
V = 19.0 A^3/atom

(4)
A relaxed K2InAsO crystal. Source: Alexandria, functional PBE.

Unit cell a=5.343 b=4.457 c=5.343 alpha=90.00 beta=90.00 gamma=90.00
Sites, in units of the cell vectors:
As 0.500 0.500 0.500
K 0.000 0.000 0.500
K 0.500 0.000 0.000
O 0.000 0.000 0.000
In 0.000 0.500 0.000

## Properties
Formation energy (no corrections) = -0.52 eV/atom
Space group = P4/mmm, No. 123
E above lowest polymorph = 0.0 meV/atom
V = 25.4 A^3/atom

(5)
A relaxed K3InAs2O8 crystal. Source: Alexandria, functional PBE.

Unit cell a=5.805 b=5.805 c=7.752 alpha=90.00 beta=90.00 gamma=120.00
Sites, in units of the cell vectors:
K 0.333 0.667 0.706
K 0.667 0.333 0.294
K 0.000 0.000 0.000
In 0.000 0.000 0.500
As 0.333 0.667 0.251
As 0.667 0.333 0.749
O 0.333 0.667 0.035
O 0.667 0.333 0.965
O 0.171 0.829 0.328
O 0.829 0.171 0.672
O 0.171 0.342 0.328
O 0.829 0.658 0.672
O 0.658 0.829 0.328
O 0.342 0.171 0.672

## Properties
Formation energy (no corrections) = -1.58 eV/atom
Space group = P-3m1, No. 164
V = 16.2 A^3/atom

(6)
A relaxed K2InAsO crystal. Source: Alexandria, functional PBE.

Unit cell a=6.873 b=4.956 c=6.873 alpha=90.00 beta=90.00 gamma=90.00
Sites, in units of the cell vectors:
As 0.000 0.500 0.000
K 0.000 0.000 0.500
K 0.500 0.000 0.000
O 0.500 0.500 0.500
In 0.000 0.000 0.000

## Properties
Formation energy (no corrections) = 0.23 eV/atom
Space group = P4/mmm, No. 123
E above lowest polymorph = 753.5 meV/atom
V = 46.8 A^3/atom

(7)
A relaxed K2In2As2O crystal. Source: Alexandria, functional PBE.

Unit cell a=3.838 b=6.453 c=8.039 alpha=70.87 beta=90.00 gamma=72.71
Sites, in units of the cell vectors:
K 0.508 0.985 0.740
K 0.492 0.015 0.260
In 0.812 0.377 0.887
In 0.188 0.623 0.113
As 0.778 0.443 0.410
As 0.222 0.557 0.590
O 0.000 0.000 0.000

## Properties
Formation energy (no corrections) = -0.57 eV/atom
Space group = C2/m, No. 12
V = 25.5 A^3/atom

(8)
A relaxed KInAs2O6 crystal. Source: Alexandria, functional PBE.

Unit cell a=7.283 b=7.277 c=7.277 alpha=82.62 beta=69.66 gamma=69.66
Sites, in units of the cell vectors:
K 0.250 0.870 0.130
K 0.750 0.130 0.870
In 0.250 0.273 0.727
In 0.750 0.727 0.273
As 0.359 0.755 0.653
As 0.141 0.347 0.245
As 0.641 0.245 0.347
As 0.859 0.653 0.755
O 0.209 0.986 0.758
O 0.291 0.242 0.014
O 0.791 0.014 0.242
O 0.709 0.758 0.986
O 0.427 0.785 0.398
O 0.073 0.602 0.215
O 0.573 0.215 0.602
O 0.927 0.398 0.785
O 0.169 0.626 0.713
O 0.331 0.287 0.374
O 0.831 0.374 0.287
O 0.669 0.713 0.626

## Properties
Formation energy (no corrections) = -1.33 eV/atom
Space group = C2/c, No. 15
V = 17.0 A^3/atom

(9)
A relaxed KIn2AsOs crystal. Source: Alexandria, functional PBE.

Unit cell a=5.733 b=5.733 c=5.273 alpha=90.00 beta=90.00 gamma=90.00
Sites, in units of the cell vectors:
As 0.500 0.500 0.500
Os 0.000 0.000 0.500
K 0.000 0.000 0.000
In 0.000 0.500 0.000
In 0.500 0.000 0.000

## Properties
Space group = P4/mmm, No. 123
DFT formation energy = 2.129 eV per atom
V = 34.7 A^3/atom

(10)
A relaxed KInAs2Pt4 crystal. Source: Alexandria, functional PBE.

Unit cell a=4.034 b=4.034 c=10.760 alpha=90.00 beta=90.00 gamma=90.00
Sites, in units of the cell vectors:
K 0.000 0.000 0.500
In 0.000 0.000 0.000
As 0.500 0.500 0.316
As 0.500 0.500 0.684
Pt 0.000 0.500 0.184
Pt 0.500 0.000 0.816
Pt 0.500 0.000 0.184
Pt 0.000 0.500 0.816

## Properties
Space group = P4/mmm, No. 123
DFT formation energy = -0.430 eV per atom
V = 21.9 A^3/atom

(11)
A relaxed KIn2AsPt crystal. Source: Alexandria, functional PBE.

Unit cell a=5.804 b=5.154 c=5.804 alpha=90.00 beta=90.00 gamma=90.00
Sites, in units of the cell vectors:
As 0.500 0.500 0.500
K 0.000 0.000 0.000
Pt 0.000 0.500 0.000
In 0.000 0.000 0.500
In 0.500 0.000 0.000

## Properties
Space group = P4/mmm, No. 123
DFT formation energy = 1.313 eV per atom
V = 34.7 A^3/atom

(12)
A relaxed K2Rb4InAs2 crystal. Source: Alexandria, functional PBE.

Unit cell a=5.381 b=9.455 c=9.455 alpha=70.47 beta=73.52 gamma=73.52
Sites, in units of the cell vectors:
K 0.354 0.644 0.644
K 0.646 0.356 0.356
Rb 0.139 0.656 0.067
Rb 0.861 0.933 0.344
Rb 0.861 0.344 0.933
Rb 0.139 0.067 0.656
In 0.500 0.000 0.000
As 0.311 0.189 0.189
As 0.689 0.811 0.811

## Properties
Space group = C2/m, No. 12
DFT formation energy = -0.169 eV per atom
V = 47.2 A^3/atom